[1]
! GGA-PBE CaW2Br, optimized geometry; values from VASP
&SYSTEM
  ibrav = 0, nat = 4, ntyp = 3
/
ATOMIC_SPECIES
W 183.84 W.upf
Ca 40.08 Ca.upf
Br 79.90 Br.upf
ATOMIC_POSITIONS crystal
W 0.2500 0.7500 0.5000
W 0.0000 0.0000 0.0000
Ca 0.7500 0.2500 0.5000
Br 0.5000 0.5000 0.0000
CELL_PARAMETERS angstrom
-0.8685 4.4899 1.3829
-1.6192 -1.5804 4.2080
4.3548 -1.2459 -1.5199
! Excess energy over the best structure of this formula in the dataset, meV per atom: 874
! SG: I-4m2
! DOS at the Fermi energy, states/eV/atom: 1.09

[2]
! GGA-PBE CaW2Br, optimized geometry; values from VASP
&SYSTEM
  ibrav = 0, nat = 4, ntyp = 3
/
ATOMIC_SPECIES
Br 79.90 Br.upf
Ca 40.08 Ca.upf
W 183.84 W.upf
ATOMIC_POSITIONS crystal
Br 0.7500 0.2500 0.5000
Ca 0.2500 0.7500 0.5000
W 0.9845 0.9845 0.0000
W 0.5155 0.5155 0.0000
CELL_PARAMETERS angstrom
-5.4467 -2.7772 1.9329
-1.3457 -6.2093 0.8652
3.4702 5.2523 1.2187
! Excess energy over the best structure of this formula in the dataset, meV per atom: 473
! SG: Immm
! DOS at the Fermi energy, states/eV/atom: 0.85

[3]
! GGA-PBE CaWBr, optimized geometry; values from VASP
&SYSTEM
  ibrav = 0, nat = 3, ntyp = 3
/
ATOMIC_SPECIES
Ca 40.08 Ca.upf
W 183.84 W.upf
Br 79.90 Br.upf
ATOMIC_POSITIONS crystal
Ca 0.7500 0.7500 0.7500
W 0.0000 0.0000 0.0000
Br 0.5000 0.5000 0.5000
CELL_PARAMETERS angstrom
5.2727 0.0000 0.0000
2.6364 4.5663 0.0000
2.6364 1.5221 4.3051
! Excess energy over the best structure of this formula in the dataset, meV per atom: 681
! SG: F-43m
! DOS at the Fermi energy, states/eV/atom: 0.08

[4]
! GGA-PBE CaW2Br, optimized geometry; values from VASP
&SYSTEM
  ibrav = 0, nat = 4, ntyp = 3
/
ATOMIC_SPECIES
Br 79.90 Br.upf
W 183.84 W.upf
Ca 40.08 Ca.upf
ATOMIC_POSITIONS crystal
Br 0.5000 0.5000 0.2500
W 0.0000 0.0000 0.4741
W 0.0000 0.0000 0.0259
Ca 0.5000 0.5000 0.7500
CELL_PARAMETERS angstrom
2.9038 0.0000 0.0000
0.0000 2.9038 0.0000
0.0000 0.0000 9.3465
! Excess energy over the best structure of this formula in the dataset, meV per atom: 1124
! SG: P4/mmm
! DOS at the Fermi energy, states/eV/atom: 0.93

[5]
! GGA-PBE CaW2Br, optimized geometry; values from VASP
&SYSTEM
  ibrav = 0, nat = 4, ntyp = 3
/
ATOMIC_SPECIES
W 183.84 W.upf
Ca 40.08 Ca.upf
Br 79.90 Br.upf
ATOMIC_POSITIONS crystal
W 0.2500 0.2500 0.2500
W 0.7500 0.7500 0.7500
Ca 0.0000 0.0000 0.0000
Br 0.5000 0.5000 0.5000
CELL_PARAMETERS angstrom
0.0000 3.3600 3.3600
3.3600 0.0000 3.3600
3.3600 3.3600 0.0000
! Excess energy over the best structure of this formula in the dataset, meV per atom: 1783
! SG: Fm-3m
! DOS at the Fermi energy, states/eV/atom: 1.31

[6]
! GGA-PBE CaW2Br, optimized geometry; values from VASP
&SYSTEM
  ibrav = 0, nat = 4, ntyp = 3
/
ATOMIC_SPECIES
Br 79.90 Br.upf
Ca 40.08 Ca.upf
W 183.84 W.upf
ATOMIC_POSITIONS crystal
Br 0.5000 0.0000 0.5000
Ca 0.0000 0.5000 0.5000
W 0.5000 0.5000 0.0000
W 0.0000 0.0000 0.0000
CELL_PARAMETERS angstrom
-1.3444 1.6246 -4.6487
-3.5852 -3.6264 -0.2305
-1.9714 1.8712 1.2241
! Excess energy over the best structure of this formula in the dataset, meV per atom: 1585
! SG: P4/mmm
! DOS at the Fermi energy, states/eV/atom: 1.57

[7]
! GGA-PBE Ca3WBr, optimized geometry; values from VASP
&SYSTEM
  ibrav = 0, nat = 5, ntyp = 3
/
ATOMIC_SPECIES
Ca 40.08 Ca.upf
Br 79.90 Br.upf
W 183.84 W.upf
ATOMIC_POSITIONS crystal
Ca 0.5000 0.0000 0.0000
Ca 0.0000 0.0000 0.5000
Ca 0.0000 0.5000 0.0000
Br 0.0000 0.0000 0.0000
W 0.5000 0.5000 0.5000
CELL_PARAMETERS angstrom
-2.9981 -0.1342 -4.5971
-2.5141 -4.5474 1.7724
-3.8511 3.0731 2.4219
! Excess energy over the best structure of this formula in the dataset, meV per atom: 19
! SG: Pm-3m
! DOS at the Fermi energy, states/eV/atom: 1.34

[8]
! GGA-PBE CaW4Br, optimized geometry; values from VASP
&SYSTEM
  ibrav = 0, nat = 6, ntyp = 3
/
ATOMIC_SPECIES
W 183.84 W.upf
Br 79.90 Br.upf
Ca 40.08 Ca.upf
ATOMIC_POSITIONS crystal
W 0.3753 0.3753 0.3753
W 0.3753 0.3753 0.8742
W 0.8742 0.3753 0.3753
W 0.3753 0.8742 0.3753
Br 0.7500 0.7500 0.7500
Ca 0.0000 0.0000 0.0000
CELL_PARAMETERS angstrom
-4.2660 -2.6902 2.1880
-5.0976 1.0049 -1.7967
-2.6694 -3.7890 -2.9566
! SG: F-43m
! DOS at the Fermi energy, states/eV/atom: 1.03

[9]
! GGA-PBE CaW2Br, optimized geometry; values from VASP
&SYSTEM
  ibrav = 0, nat = 4, ntyp = 3
/
ATOMIC_SPECIES
W 183.84 W.upf
Ca 40.08 Ca.upf
Br 79.90 Br.upf
ATOMIC_POSITIONS crystal
W 0.0000 0.0000 0.9724
W 0.0000 0.0000 0.5276
Ca 0.5000 0.5000 0.7500
Br 0.5000 0.5000 0.2500
CELL_PARAMETERS angstrom
2.9831 0.0000 0.0000
0.0000 5.3071 0.0000
0.0000 0.0000 5.3831
! Excess energy over the best structure of this formula in the dataset, meV per atom: 910
! SG: Pmmm
! DOS at the Fermi energy, states/eV/atom: 1.10

[10]
! GGA-PBE CaW2Br, optimized geometry; values from VASP
&SYSTEM
  ibrav = 0, nat = 4, ntyp = 3
/
ATOMIC_SPECIES
Br 79.90 Br.upf
Ca 40.08 Ca.upf
W 183.84 W.upf
ATOMIC_POSITIONS crystal
Br 0.5000 0.5000 0.0000
Ca 0.5000 0.0000 0.5000
W 0.0000 0.5000 0.5000
W 0.0000 0.0000 0.0000
CELL_PARAMETERS angstrom
-1.7986 -2.0044 5.3719
-2.9129 -1.7687 -1.6353
2.1266 -3.0935 -0.4423
! Excess energy over the best structure of this formula in the dataset, meV per atom: 602
! SG: P4/mmm
! DOS at the Fermi energy, states/eV/atom: 0.84

[11]
! GGA-PBE CaWBr, optimized geometry; values from VASP
&SYSTEM
  ibrav = 0, nat = 3, ntyp = 3
/
ATOMIC_SPECIES
Br 79.90 Br.upf
W 183.84 W.upf
Ca 40.08 Ca.upf
ATOMIC_POSITIONS crystal
Br 0.0000 0.0000 0.8334
W 0.3333 0.6667 0.8336
Ca 0.6667 0.3333 0.3332
CELL_PARAMETERS angstrom
4.8501 0.0000 0.0000
-2.4251 4.2003 0.0000
0.0000 0.0000 3.1250
! Excess energy over the best structure of this formula in the dataset, meV per atom: 198
! SG: P-6m2
! DOS at the Fermi energy, states/eV/atom: 1.48

[12]
! GGA-PBE CaZrW2Br, optimized geometry; values from VASP
&SYSTEM
  ibrav = 0, nat = 5, ntyp = 4
/
ATOMIC_SPECIES
W 183.84 W.upf
Br 79.90 Br.upf
Ca 40.08 Ca.upf
Zr 91.22 Zr.upf
ATOMIC_POSITIONS crystal
W 0.0000 0.0000 0.5000
W 0.5000 0.0000 0.0000
Br 0.5000 0.5000 0.5000
Ca 0.0000 0.5000 0.0000
Zr 0.0000 0.0000 0.0000
CELL_PARAMETERS angstrom
4.8303 0.0000 0.0000
0.0000 6.7416 0.0000
0.0000 0.0000 4.8303
! SG: P4/mmm
! DOS at the Fermi energy, states/eV/atom: 0.86

[13]
! GGA-PBE CaYBr, optimized geometry; values from VASP
&SYSTEM
  ibrav = 0, nat = 3, ntyp = 3
/
ATOMIC_SPECIES
Br 79.90 Br.upf
Ca 40.08 Ca.upf
Y 88.91 Y.upf
ATOMIC_POSITIONS crystal
Br 0.0000 0.0000 0.9929
Ca 0.6667 0.3333 0.3109
Y 0.3333 0.6667 0.6962
CELL_PARAMETERS angstrom
-0.7736 0.3291 -3.6920
-2.6738 -1.2062 2.3944
-2.1859 6.9915 1.0812
! Excess energy over the best structure of this formula in the dataset, meV per atom: 0
! SG: P3m1
! DOS at the Fermi energy, states/eV/atom: 0.69

[14]
! GGA-PBE CaYBr, optimized geometry; values from VASP
&SYSTEM
  ibrav = 0, nat = 3, ntyp = 3
/
ATOMIC_SPECIES
Br 79.90 Br.upf
Ca 40.08 Ca.upf
Y 88.91 Y.upf
ATOMIC_POSITIONS crystal
Br 0.7500 0.7500 0.7500
Ca 0.0000 0.0000 0.0000
Y 0.5000 0.5000 0.5000
CELL_PARAMETERS angstrom
-3.9665 -0.6013 3.1331
-0.0647 -3.8656 3.3112
0.5307 0.9061 4.9808
! Excess energy over the best structure of this formula in the dataset, meV per atom: 591
! SG: F-43m
! DOS at the Fermi energy, states/eV/atom: 0.72

[15]
! GGA-PBE Ca3YBr, optimized geometry; values from VASP
&SYSTEM
  ibrav = 0, nat = 5, ntyp = 3
/
ATOMIC_SPECIES
Br 79.90 Br.upf
Ca 40.08 Ca.upf
Y 88.91 Y.upf
ATOMIC_POSITIONS crystal
Br 0.5000 0.5000 0.5000
Ca 0.0000 0.0000 0.5000
Ca 0.5000 0.0000 0.0000
Ca 0.0000 0.5000 0.0000
Y 0.0000 0.0000 0.0000
CELL_PARAMETERS angstrom
6.3305 0.0000 0.0000
0.0000 6.3305 0.0000
0.0000 0.0000 6.3305
! Excess energy over the best structure of this formula in the dataset, meV per atom: 792
! SG: Pm-3m
! DOS at the Fermi energy, states/eV/atom: 1.49

[16]
! GGA-PBE Ca4YBr, optimized geometry; values from VASP
&SYSTEM
  ibrav = 0, nat = 6, ntyp = 3
/
ATOMIC_SPECIES
Y 88.91 Y.upf
Ca 40.08 Ca.upf
Br 79.90 Br.upf
ATOMIC_POSITIONS crystal
Y 0.7500 0.7500 0.7500
Ca 0.3768 0.8696 0.3768
Ca 0.3768 0.3768 0.8696
Ca 0.8696 0.3768 0.3768
Ca 0.3768 0.3768 0.3768
Br 0.0000 0.0000 0.0000
CELL_PARAMETERS angstrom
-4.2583 0.7207 5.5624
-5.0457 4.9124 -0.0414
-6.7636 -1.9034 -0.4733
! SG: F-43m
! DOS at the Fermi energy, states/eV/atom: 1.03

[17]
! GGA-PBE Ca3YBr, optimized geometry; values from VASP
&SYSTEM
  ibrav = 0, nat = 5, ntyp = 3
/
ATOMIC_SPECIES
Ca 40.08 Ca.upf
Br 79.90 Br.upf
Y 88.91 Y.upf
ATOMIC_POSITIONS crystal
Ca 0.0000 0.5000 0.0000
Ca 0.0000 0.0000 0.5000
Ca 0.5000 0.0000 0.0000
Br 0.0000 0.0000 0.0000
Y 0.5000 0.5000 0.5000
CELL_PARAMETERS angstrom
-0.7353 3.5127 4.4693
4.0890 -2.8037 2.8764
3.9489 3.5573 -2.1462
! Excess energy over the best structure of this formula in the dataset, meV per atom: 0
! SG: Pm-3m
! DOS at the Fermi energy, states/eV/atom: 1.80

[18]
! GGA-PBE CaYBr, optimized geometry; values from VASP
&SYSTEM
  ibrav = 0, nat = 3, ntyp = 3
/
ATOMIC_SPECIES
Ca 40.08 Ca.upf
Br 79.90 Br.upf
Y 88.91 Y.upf
ATOMIC_POSITIONS crystal
Ca 0.3410 0.3410 0.0000
Br 0.0051 0.0051 0.0000
Y 0.6539 0.6539 0.0000
CELL_PARAMETERS angstrom
-6.5525 2.6917 2.4324
-5.6797 -1.8593 4.5145
7.2993 0.7025 -1.5240
! Excess energy over the best structure of this formula in the dataset, meV per atom: 155
! SG: I4mm
! DOS at the Fermi energy, states/eV/atom: 0.96

[19]
! GGA-PBE CaYBr, optimized geometry; values from VASP
&SYSTEM
  ibrav = 0, nat = 3, ntyp = 3
/
ATOMIC_SPECIES
Y 88.91 Y.upf
Ca 40.08 Ca.upf
Br 79.90 Br.upf
ATOMIC_POSITIONS crystal
Y 0.6557 0.6557 0.3443
Ca 0.3435 0.3435 0.6565
Br 0.0007 0.0007 0.9993
CELL_PARAMETERS angstrom
-1.1040 7.0707 4.0700
-3.9418 4.8431 4.7937
2.5372 0.2361 2.6545
! Excess energy over the best structure of this formula in the dataset, meV per atom: 79
! SG: Fmm2
! DOS at the Fermi energy, states/eV/atom: 0.37

[20]
! GGA-PBE CaYBr, optimized geometry; values from VASP
&SYSTEM
  ibrav = 0, nat = 6, ntyp = 3
/
ATOMIC_SPECIES
Br 79.90 Br.upf
Ca 40.08 Ca.upf
Y 88.91 Y.upf
ATOMIC_POSITIONS crystal
Br 0.2778 0.5555 0.1488
Br 0.2778 0.5555 0.8512
Ca 0.2779 0.5557 0.5000
Ca 0.6110 0.2219 0.0000
Y 0.6111 0.2222 0.2996
Y 0.6111 0.2222 0.7004
CELL_PARAMETERS angstrom
3.7495 0.0000 0.0000
-1.8748 3.2473 0.0000
0.0000 0.0000 14.9195
! Excess energy over the best structure of this formula in the dataset, meV per atom: 67
! SG: P-6m2
! DOS at the Fermi energy, states/eV/atom: 0.96

Here are the calculated formation energy from raw total energies numbers, same order: 1042 642 1314 1292 1952 1754 653 1002 1078 770 831 1759 -784 -193 569 159 -222 -628 -705 -717 (meV per atom).